! ScNiF2 PBE with a Hubbard U optimized geometry; values from VASP
! Total magnetization: 0.00 μB/atom
! Space-group type: Fm-3m, No. 225
! Final energy: -0.16257 hartree per atom
! Crystal system: cubic
&SYSTEM
  ibrav = 0, nat = 4, ntyp = 3
/
ATOMIC_SPECIES
Sc 44.96 Sc.upf
Ni 58.69 Ni.upf
F 19.00 F.upf
CELL_PARAMETERS angstrom
0.0000 2.8408 2.8408
2.8408 0.0000 2.8408
2.8408 2.8408 0.0000
ATOMIC_POSITIONS angstrom
Sc 0.0000 0.0000 0.0000
Ni 2.8408 2.8408 2.8408
F 1.4204 1.4204 1.4204
F 4.2613 4.2613 4.2613